First-principles (PBE-GGA) data for a relaxed structure of SnP2WCl, as listed in the Alexandria database.

Cell: 4.7121 4.7121 5.0225 Å, 90.00 90.00 90.00°
Last column: nearest neighbours and their distance in Å.
Fractional coordinates of all 5 atoms:
W: 0.0000 0.0000 0.0000  4 P 2.36, 2 Cl 2.51
P: 0.0000 0.5000 0.0000  2 W 2.36
Cl: 0.0000 0.0000 0.5000  2 W 2.51
P: 0.5000 0.0000 0.0000  2 W 2.36
Sn: 0.5000 0.5000 0.5000  4 Cl 3.33, 8 P 3.44

Values from the calculation:
Theoretical density ... 6.0 g/cm³
ΔE_f (raw) ... 0.2938 eV/atom
Crystal system ... tetragonal
M_tot ... 0.00 μB/cell
Final energy ... -5.6307 eV/atom